{"formula": "In2Hg4Pb", "functional": "PBE", "state": "relaxed", "e_form_ev_per_atom": 0.08, "e_above_lowest_polymorph_ev_per_atom": 0.0637, "lattice_angstrom": [[-0.1163, -1.3902, 3.9809], [4.1861, 0.4407, 0.2762], [-3.3665, 10.8731, 1.4637]], "species": ["Pb", "Hg", "Hg", "Hg", "Hg", "In", "In"], "frac_coords": [[0.0000, 0.0000, 0.0000], [0.8574, 0.8574, 0.7148], [0.1426, 0.1426, 0.2852], [0.2500, 0.7500, 0.5000], [0.7500, 0.2500, 0.5000], [0.4190, 0.4190, 0.8381], [0.5810, 0.5810, 0.1619]]}

---

{"formula": "InHg3Pb7", "functional": "PBE", "state": "relaxed", "e_form_ev_per_atom": 0.04, "lattice_angstrom": [[-7.5559, 2.6832, -0.4242], [-1.6711, -3.8149, 5.6365], [2.2922, 6.5774, 0.7743]], "species": ["Pb", "Pb", "Pb", "Pb", "Pb", "Pb", "Pb", "Hg", "Hg", "Hg", "In"], "frac_coords": [[0.1021, 0.1650, 0.3300], [0.1021, 0.1650, 0.8350], [0.4648, 0.8384, 0.1616], [0.1222, 0.6667, 0.3333], [0.4648, 0.3232, 0.1616], [0.4648, 0.8384, 0.6768], [0.1021, 0.6700, 0.8350], [0.7800, 0.4982, 0.9965], [0.7800, 0.0035, 0.5018], [0.7800, 0.4982, 0.5018], [0.4521, 0.3333, 0.6667]]}

---

{"formula": "In4Hg3Pb2", "functional": "PBE", "state": "relaxed", "e_form_ev_per_atom": 0.03, "e_above_lowest_polymorph_ev_per_atom": 0.0000, "lattice_angstrom": [[3.4260, 0.0000, 0.0000], [-1.7130, 2.9670, 0.0000], [0.0000, 0.0000, 24.7664]], "species": ["In", "In", "In", "In", "Hg", "Hg", "Hg", "Pb", "Pb"], "frac_coords": [[0.6667, 0.3333, 0.2248], [0.6667, 0.3333, 0.4306], [0.0000, 0.0000, 0.5427], [0.0000, 0.0000, 0.7542], [0.0000, 0.0000, 0.9832], [0.6667, 0.3333, 0.6487], [0.0000, 0.0000, 0.3268], [0.6667, 0.3333, 0.0951], [0.6667, 0.3333, 0.8710]]}

---

Calculated electronic total energy (eV/atom), listed in the same order as above: -1.406 -2.648 -2.116